Entry 1:
An optimized crystal structure of Nd5AlAg2, computed with GGA-PBE.

```
data_Nd5AlAg2
_cell_length_a 8.3250
_cell_length_b 8.3250
_cell_length_c 13.3758
_cell_angle_alpha 90.00
_cell_angle_beta 90.00
_cell_angle_gamma 90.00
_symmetry_space_group_name_H-M 'I 4/m c m'
_symmetry_Int_Tables_number 140
_symmetry_space_group_name_Hall '-I 4 2c'
loop_
_atom_site_label
_atom_site_type_symbol
_atom_site_fract_x
_atom_site_fract_y
_atom_site_fract_z
Nd1 Nd 0.0000 0.0000 0.0000
Nd2 Nd 0.1583 0.3417 0.1514
Al1 Al 0.0000 0.0000 0.2500
Ag1 Ag 0.1297 0.3703 0.5000
```

Output
**Formation energy from the elements**: -0.176 eV/atom
**Calculated volume**: 28.97 A^3/atom
**DOS(E_F)**: 42.44 states/eV per cell
**Magnetization**: 0.000 μB per cell

***

Entry 2:
An optimized crystal structure of K2MnTl, computed with GGA-PBE.

```
data_K2MnTl
_cell_length_a 8.0576
_cell_length_b 8.0576
_cell_length_c 8.0576
_cell_angle_alpha 90.00
_cell_angle_beta 90.00
_cell_angle_gamma 90.00
_symmetry_space_group_name_H-M 'F -4 3 m'
_symmetry_Int_Tables_number 216
_symmetry_space_group_name_Hall 'F -4 2 3'
loop_
_atom_site_label
_atom_site_type_symbol
_atom_site_fract_x
_atom_site_fract_y
_atom_site_fract_z
K1 K 0.0000 0.0000 0.0000
K2 K 0.2500 0.2500 0.2500
Mn1 Mn 0.2500 0.2500 0.7500
Tl1 Tl 0.0000 0.0000 0.5000
```

Output
**Formation energy from the elements**: 0.483 eV/atom
**Calculated volume**: 32.70 A^3/atom
**DOS(E_F)**: 6.87 states/eV per cell
**Magnetization**: 15.920 μB per cell

***

Entry 3:
An optimized crystal structure of Sr3HfU3As8, computed with GGA-PBE.

```
data_Sr3HfU3As8
_cell_length_a 8.2687
_cell_length_b 8.2687
_cell_length_c 21.6291
_cell_angle_alpha 90.00
_cell_angle_beta 90.00
_cell_angle_gamma 120.00
_symmetry_space_group_name_H-M 'R -3 m'
_symmetry_Int_Tables_number 166
_symmetry_space_group_name_Hall '-R 3 2"'
loop_
_atom_site_label
_atom_site_type_symbol
_atom_site_fract_x
_atom_site_fract_y
_atom_site_fract_z
Sr1 Sr 0.0000 0.5000 0.0000
Hf1 Hf 0.0000 0.0000 0.5000
U1 U 0.0000 0.5000 0.5000
As1 As 0.0000 0.0000 0.2396
As2 As 0.0057 0.5029 0.2356
```

Output
**Formation energy from the elements**: -0.838 eV/atom
**Calculated volume**: 28.46 A^3/atom
**DOS(E_F)**: 57.40 states/eV per cell
**Magnetization**: 11.982 μB per cell

***

Entry 4:
An optimized crystal structure of NiAgSe2Br, computed with GGA-PBE.

```
data_NiAgSe2Br
_cell_length_a 5.1015
_cell_length_b 5.1015
_cell_length_c 5.1793
_cell_angle_alpha 90.00
_cell_angle_beta 90.00
_cell_angle_gamma 90.00
_symmetry_space_group_name_H-M 'P 4/m m m'
_symmetry_Int_Tables_number 123
_symmetry_space_group_name_Hall '-P 4 2'
loop_
_atom_site_label
_atom_site_type_symbol
_atom_site_fract_x
_atom_site_fract_y
_atom_site_fract_z
Ni1 Ni 0.0000 0.0000 0.0000
Ag1 Ag 0.5000 0.5000 0.5000
Se1 Se 0.0000 0.5000 0.5000
Br1 Br 0.5000 0.5000 0.0000
```

Output
**Calculated volume**: 26.96 A^3/atom
**DOS(E_F)**: 9.32 states/eV per cell
**Magnetization**: 1.945 μB per cell
**Uncorrected formation energy**: 0.93 eV per atom

***

Entry 5:
An optimized crystal structure of ErAl3NiPd, computed with GGA-PBE.

```
data_ErAl3NiPd
_cell_length_a 6.0700
_cell_length_b 12.2519
_cell_length_c 5.6227
_cell_angle_alpha 90.00
_cell_angle_beta 90.00
_cell_angle_gamma 90.00
_symmetry_space_group_name_H-M 'C m c m'
_symmetry_Int_Tables_number 63
_symmetry_space_group_name_Hall '-C 2c 2'
loop_
_atom_site_label
_atom_site_type_symbol
_atom_site_fract_x
_atom_site_fract_y
_atom_site_fract_z
Er1 Er 0.0000 0.2226 0.2500
Al1 Al 0.0000 0.3606 0.7500
Al2 Al 0.2138 0.0000 0.0000
Ni1 Ni 0.0000 0.4316 0.2500
Pd1 Pd 0.0000 0.1501 0.7500
```

Output
**Formation energy from the elements**: -0.549 eV/atom
**Calculated volume**: 17.42 A^3/atom
**DOS(E_F)**: 9.98 states/eV per cell
**Magnetization**: 0.000 μB per cell

***

Entry 6:
An optimized crystal structure of CaPm14Tm, computed with GGA-PBE.

```
data_CaPm14Tm
_cell_length_a 11.3205
_cell_length_b 8.6961
_cell_length_c 11.1762
_cell_angle_alpha 90.00
_cell_angle_beta 90.00
_cell_angle_gamma 90.00
_symmetry_space_group_name_H-M 'A m m 2'
_symmetry_Int_Tables_number 38
loop_
_symmetry_equiv_pos_as_xyz
'x,y,z'
'-x,-y,z'
'-x,y,z'
'x,-y,z'
'x,y+1/2,z+1/2'
'-x,-y+1/2,z+1/2'
'-x,y+1/2,z+1/2'
'x,-y+1/2,z+1/2'
loop_
_atom_site_label
_atom_site_type_symbol
_atom_site_fract_x
_atom_site_fract_y
_atom_site_fract_z
Ca1 Ca 0.0000 0.0000 0.0000
Pm1 Pm 0.0000 0.2076 0.7227
Pm2 Pm 0.2319 0.0000 0.2275
Pm3 Pm 0.2563 0.2142 0.9364
Pm4 Pm 0.2615 0.0000 0.6561
Pm5 Pm 0.5000 0.0000 0.4406
Pm6 Pm 0.5000 0.0000 0.8632
Pm7 Pm 0.5000 0.2028 0.1565
Tm1 Tm 0.0000 0.0000 0.4459
```

Output
**Formation energy from the elements**: 0.069 eV/atom
**Calculated volume**: 34.38 A^3/atom
**DOS(E_F)**: 45.02 states/eV per cell
**Magnetization**: 0.000 μB per cell